Material: CrAsOs
Method: DFT, PBE
State: optimized geometry

abc: 4.1875 4.1875 2.8130
angles: 90.00 90.00 120.00
Space group P-6m2 (No. 187)
Unique sites:
Cr1 0.0000 0.0000 0.0000
As1 0.3333 0.6667 0.5000
Os1 0.6667 0.3333 0.5000

Summary:
total energy: -8.300 eV per atom
excess energy over the best structure of this formula in the dataset: 0.24 eV per formula unit
formation enthalpy at 0 K: 201 meV/atom
DOS at the Fermi energy: 1.788 states/eV/cell